The following is a GGA-PBE calculation of a geometry-optimized Pr2ZrCr2N6 structure, from the Alexandria database.

a b c (Å): 5.818 5.818 6.459
angles (deg): 63.23 63.23 60.00
Sites, in units of the cell vectors:
Pr1 0.212 0.212 0.363
Pr2 0.788 0.788 0.637
N1 0.759 0.249 0.743
N2 0.241 0.751 0.257
N3 0.751 0.241 0.257
N4 0.249 0.759 0.743
N5 0.751 0.751 0.257
N6 0.249 0.249 0.743
Cr1 0.435 0.435 0.696
Cr2 0.565 0.565 0.304
Zr1 0.000 0.000 0.000

Uncorrected formation energy = -0.822 eV/atom
Space-group type = R-3m (166)

=====

The following is a GGA-PBE calculation of a geometry-optimized PrZr2CrN4 structure, from the Alexandria database.

a b c (Å): 3.299 5.898 11.117
angles (deg): 90.00 90.00 106.24
Sites, in units of the cell vectors:
Pr1 0.095 0.191 0.750
Pr2 0.905 0.809 0.250
N1 0.265 0.530 0.382
N2 0.425 0.850 0.750
N3 0.735 0.470 0.618
N4 0.735 0.470 0.882
N5 0.265 0.530 0.118
N6 0.575 0.150 0.250
N7 0.000 0.000 0.000
N8 0.000 0.000 0.500
Cr1 0.834 0.668 0.750
Cr2 0.166 0.332 0.250
Zr1 0.631 0.262 0.045
Zr2 0.369 0.738 0.955
Zr3 0.369 0.738 0.545
Zr4 0.631 0.262 0.455

Uncorrected formation energy = -1.284 eV/atom
Space-group type = Cmcm (63)

=====

no.,total magnetization (μB per formula unit)
1,0.00
2,0.00